1.
An optimized crystal structure of Ce4ErN5. Source: Alexandria, functional PBE.

ΔE_f (raw): -148.4 kJ per mole of atoms
N(E_F): 1.02 states/eV per atom
Calculated density: 8.43 Mg/m³
Space group: No. 87
Calculated total energy: -8.530 eV per atom

Structure (POSCAR):
```
Ce4ErN5
1.0
4.512 0.000 2.176
2.256 5.602 1.088
-0.177 0.000 6.133
Ce N Er
4 5 1
Direct
0.401 0.399 0.801 Ce
0.202 0.199 0.399 Ce
0.601 0.601 0.199 Ce
0.800 0.801 0.601 Ce
0.501 0.000 0.000 N
0.101 0.605 0.195 N
0.296 0.805 0.605 N
0.901 0.395 0.805 N
0.706 0.195 0.395 N
0.001 0.000 0.000 Er
```



2.
An optimized crystal structure of CsBaCrCl6. Source: Alexandria, functional PBE.

ΔE_f (raw): -170.4 kJ per mole of atoms
N(E_F): 0.00 states/eV per atom
Calculated density: 2.62 Mg/m³
Space group: No. 149
Calculated total energy: -4.375 eV per atom

Structure (POSCAR):
```
CsBaCrCl6
1.0
7.333 0.000 0.000
3.667 6.351 0.000
0.000 0.000 7.279
Cs Cr Cl Ba
1 1 6 1
Direct
0.000 0.000 0.000 Cs
0.333 0.333 0.500 Cr
0.335 0.595 0.307 Cl
0.070 0.335 0.307 Cl
0.335 0.070 0.693 Cl
0.595 0.335 0.693 Cl
0.070 0.595 0.693 Cl
0.595 0.070 0.307 Cl
0.667 0.667 0.500 Ba
```